No. 1
An optimized crystal structure of TaInMo. Source: Alexandria via LeMat-Bulk, functional GGA-PBE.

a = 7.173 Å, b = 7.173 Å, c = 7.173 Å
α = 157.22°, β = 157.22°, γ = 32.43°
Element x y z (fractional)
In 0.002 0.002 0.000
Mo 0.667 0.667 0.000
Ta 0.331 0.331 0.000

Summary:
N(E_F) = 0.7854 states/eV per atom
Space-group type = I4mm
E = -24.4 eV per formula unit
DFT formation energy = 0.344 eV per atom
Relative energy among the computed polymorphs = 0.264 eV per atom

=====

No. 2
An optimized crystal structure of LiGd2Sc. Source: Alexandria via LeMat-Bulk, functional GGA-PBE.

a = 3.391 Å, b = 3.391 Å, c = 11.981 Å
α = 81.87°, β = 81.87°, γ = 60.00°
Element x y z (fractional)
Gd 0.909 0.909 0.272
Gd 0.091 0.091 0.728
Sc 0.500 0.500 0.500
Li 0.000 0.000 0.000

Summary:
N(E_F) = 1.2187 states/eV per atom
Space-group type = R-3m
E = -35.7 eV per formula unit
DFT formation energy = 0.173 eV per atom
Relative energy among the computed polymorphs = 0.091 eV per atom